1.
# Cs2Si2PdSe6 (PBE, optimized geometry)
# Total magnetization ... 0.000 μB/f.u.
# ρ ... 4.1 g/cm3
# Raw formation energy ... -0.51 eV per atom
data_Cs2Si2PdSe6
_space_group_name_H-M_alt 'R -3 m'
_space_group_IT_number 166
_space_group_name_Hall '-R 3 2"'
_cell_length_a 7.3233
_cell_length_b 7.3233
_cell_length_c 23.3429
_cell_angle_alpha 90.00
_cell_angle_beta 90.00
_cell_angle_gamma 120.00
loop_
_atom_site_label
_atom_site_type_symbol
_atom_site_fract_x
_atom_site_fract_y
_atom_site_fract_z
_atom_site_occupancy
Cs1 Cs 0.0000 0.0000 0.2240 1
Si1 Si 0.0000 0.0000 0.4009 1
Pd1 Pd 0.0000 0.0000 0.0000 1
Se1 Se 0.0160 0.5080 0.7416 1


2.
# LiP2ClO (PBE, optimized geometry)
# Total magnetization ... 0.117 μB/f.u.
# ρ ... 1.9 g/cm3
# Raw formation energy ... -0.16 eV per atom
data_LiP2ClO
_space_group_name_H-M_alt 'P 4/m m m'
_space_group_IT_number 123
_space_group_name_Hall '-P 4 2'
_cell_length_a 3.8001
_cell_length_b 3.8001
_cell_length_c 7.1734
_cell_angle_alpha 90.00
_cell_angle_beta 90.00
_cell_angle_gamma 90.00
loop_
_atom_site_label
_atom_site_type_symbol
_atom_site_fract_x
_atom_site_fract_y
_atom_site_fract_z
_atom_site_occupancy
Li1 Li 0.0000 0.0000 0.0000 1
P1 P 0.0000 0.5000 0.5000 1
Cl1 Cl 0.5000 0.5000 0.0000 1
O1 O 0.5000 0.5000 0.5000 1


3.
# HgGeF2 (PBE, optimized geometry)
# Total magnetization ... 0.000 μB/f.u.
# ρ ... 5.2 g/cm3
# Raw formation energy ... -1.39 eV per atom
data_HgGeF2
_space_group_name_H-M_alt 'R -3 m'
_space_group_IT_number 166
_space_group_name_Hall '-R 3 2"'
_cell_length_a 3.5870
_cell_length_b 3.5870
_cell_length_c 26.7744
_cell_angle_alpha 90.00
_cell_angle_beta 90.00
_cell_angle_gamma 120.00
loop_
_atom_site_label
_atom_site_type_symbol
_atom_site_fract_x
_atom_site_fract_y
_atom_site_fract_z
_atom_site_occupancy
Hg1 Hg 0.0000 0.0000 0.0000 1
Ge1 Ge 0.0000 0.0000 0.5000 1
F1 F 0.0000 0.0000 0.1301 1


4.
# Na3O2F2 (PBE, optimized geometry)
# Total magnetization ... 1.000 μB/f.u.
# ρ ... 2.2 g/cm3
# Raw formation energy ... -1.79 eV per atom
data_Na3O2F2
_space_group_name_H-M_alt 'C 1 2/m 1'
_space_group_IT_number 12
_cell_length_a 4.4901
_cell_length_b 13.3776
_cell_length_c 3.7756
_cell_angle_alpha 90.00
_cell_angle_beta 110.86
_cell_angle_gamma 90.00
loop_
_space_group_symop_operation_xyz
'x,y,z'
'-x,-y,-z'
'-x,y,-z'
'x,-y,z'
'x+1/2,y+1/2,z'
'-x+1/2,-y+1/2,-z'
'-x+1/2,y+1/2,-z'
'x+1/2,-y+1/2,z'
loop_
_atom_site_label
_atom_site_type_symbol
_atom_site_fract_x
_atom_site_fract_y
_atom_site_fract_z
_atom_site_occupancy
Na1 Na 0.0000 0.0000 0.0000 1
Na2 Na 0.0000 0.3335 0.0000 1
O1 O 0.0792 0.5000 0.3758 1
F1 F 0.0000 0.1665 0.0000 1


5.
# Li4ZnAs (PBE, optimized geometry)
# Total magnetization ... 0.782 μB/f.u.
# E_form ... -0.065 eV/atom
# ρ ... 2.9 g/cm3
data_Li4ZnAs
_space_group_name_H-M_alt 'F -4 3 m'
_space_group_IT_number 216
_space_group_name_Hall 'F -4 2 3'
_cell_length_a 7.3100
_cell_length_b 7.3100
_cell_length_c 7.3100
_cell_angle_alpha 90.00
_cell_angle_beta 90.00
_cell_angle_gamma 90.00
loop_
_atom_site_label
_atom_site_type_symbol
_atom_site_fract_x
_atom_site_fract_y
_atom_site_fract_z
_atom_site_occupancy
Li1 Li 0.1244 0.1244 0.3756 1
Zn1 Zn 0.0000 0.0000 0.0000 1
As1 As 0.2500 0.2500 0.7500 1


6.
# YRuC2 (PBE, optimized geometry)
# Total magnetization ... 0.000 μB/f.u.
# E_form ... 0.759 eV/atom
# ρ ... 7.5 g/cm3
data_YRuC2
_space_group_name_H-M_alt 'F m -3 m'
_space_group_IT_number 225
_space_group_name_Hall '-F 4 2 3'
_cell_length_a 5.7352
_cell_length_b 5.7352
_cell_length_c 5.7352
_cell_angle_alpha 90.00
_cell_angle_beta 90.00
_cell_angle_gamma 90.00
loop_
_atom_site_label
_atom_site_type_symbol
_atom_site_fract_x
_atom_site_fract_y
_atom_site_fract_z
_atom_site_occupancy
Y1 Y 0.0000 0.0000 0.0000 1
Ru1 Ru 0.0000 0.0000 0.5000 1
C1 C 0.2500 0.2500 0.2500 1


Which value of ρ does entry 1 give? 4.1 g/cm3